DFT (GGA-PBE) results for a geometry-optimized Tl2FeP structure.

a = 6.6876 Å, b = 8.0813 Å, c = 3.1110 Å
α = 90.00°, β = 90.19°, γ = 90.00°
Closest atoms and distances in Å follow each position.
Space group C2/m (No. 12)
One atom of each set of equivalent atoms:
Tl 0.2500 0.2500 0.0000  4 Fe 3.05, 4 P 3.05, 4 Tl 3.11-3.34
Fe 0.0000 0.0000 0.5000  8 Tl 3.05, 2 Fe 3.11, 2 P 3.34
P 0.0000 0.5000 0.5000  8 Tl 3.05, 2 P 3.11, 2 Fe 3.34

## Properties
size of the total moment: 2.92 μB per formula unit
crystal system: monoclinic

DFT (GGA-PBE) results for a geometry-optimized TlFe2P structure.

a = 3.0709 Å, b = 3.9511 Å, c = 6.0393 Å
α = 90.00°, β = 104.41°, γ = 90.00°
Closest atoms and distances in Å follow each position.
Space group Pm (No. 6)
One atom of each set of equivalent atoms:
Tl 0.0000 0.0000 0.0000  4 Fe 2.86-2.89, 2 P 2.94, 2 Tl 3.07
Fe 0.2929 0.0000 0.5867  2 P 2.34, 4 Fe 2.52
Fe 0.8183 0.5000 0.6390  2 P 2.19
P 0.1873 0.5000 0.3715  4 Fe 2.19-2.34

## Properties
size of the total moment: 4.34 μB per formula unit
crystal system: monoclinic

DFT (GGA-PBE) results for a geometry-optimized TlFe2P structure.

a = 3.0852 Å, b = 3.0852 Å, c = 24.3836 Å
α = 90.00°, β = 90.00°, γ = 120.00°
Closest atoms and distances in Å follow each position.
Space group R3m (No. 160, hexagonal axes)
One atom of each set of equivalent atoms:
Tl 0.0000 0.0000 0.0000  3 Fe 2.97, 6 Tl 3.09, 3 P 3.22
Fe 0.0000 0.0000 0.2361  3 Fe 2.46
Fe 0.0000 0.0000 0.5000  3 P 2.26, 3 Fe 2.46
P 0.0000 0.0000 0.7765  3 Fe 2.26

## Properties
size of the total moment: 4.47 μB per formula unit
crystal system: trigonal

DFT (GGA-PBE) results for a geometry-optimized TlFe2P structure.

a = 5.7601 Å, b = 8.1241 Å, c = 2.9256 Å
α = 90.00°, β = 111.34°, γ = 90.00°
Closest atoms and distances in Å follow each position.
Space group C2/m (No. 12)
One atom of each set of equivalent atoms:
Tl 0.0000 0.0000 0.0000  4 Fe 2.61, 2 P 2.88
Fe 0.2500 0.2500 0.5000  2 Tl 2.61, 2 P 2.61, 2 Fe 2.88
P 0.0000 0.5000 0.0000  4 Fe 2.61, 2 Tl 2.88

## Properties
size of the total moment: 5.24 μB per formula unit
crystal system: monoclinic

Number 1: formation enthalpy at 0 K 0.701 eV/atom. Number 2: formation enthalpy at 0 K 0.238 eV/atom. Number 3: formation enthalpy at 0 K 0.328 eV/atom. Number 4: formation enthalpy at 0 K 0.642 eV/atom.